Entry 1:
The following is a PBE calculation of a geometry-optimized Ca2Ga9Ir3 structure, from Alexandria via LeMat-Bulk.

Results
energy relative to the elements = -567 meV per atom
space-group type = C2/c, No. 15
VASP energy = -4.697 eV/atom
magnetic moment = 0.000 μB per cell
ρ = 8.83 Mg/m³

POSCAR file:
```
Ca2Ga9Ir3
1.0
-6.2514 4.0701 1.3567
-0.4804 -6.6851 -3.5445
3.2843 -4.9731 8.8519
Ca Ga Ir
4 18 6
Direct
0.3363 0.2493 0.7508 Ca
0.6637 0.7507 0.2492 Ca
0.9985 0.5855 0.7492 Ca
0.0015 0.4145 0.2508 Ca
0.4605 0.9188 0.7488 Ga
0.5395 0.0812 0.2512 Ga
0.6700 0.7117 0.7512 Ga
0.3300 0.2883 0.2488 Ga
0.4500 0.6430 0.9227 Ga
0.5500 0.3570 0.0773 Ga
0.2202 0.5273 0.5773 Ga
0.7798 0.4727 0.4227 Ga
0.8791 0.1291 0.7500 Ga
0.1209 0.8709 0.2500 Ga
0.1237 0.9804 0.9363 Ga
0.8763 0.0196 0.0637 Ga
0.5441 0.1874 0.5637 Ga
0.4559 0.8126 0.4363 Ga
0.8812 0.8592 0.5738 Ga
0.1188 0.1408 0.4262 Ga
0.7854 0.3074 0.9262 Ga
0.2146 0.6926 0.0738 Ga
0.5000 0.0000 0.0000 Ir
0.5000 0.5000 0.5000 Ir
0.8431 0.1719 0.4993 Ir
0.1569 0.8281 0.5007 Ir
0.1726 0.3438 0.0007 Ir
0.8274 0.6562 0.9993 Ir
```

Entry 2:
The following is a PBE calculation of a geometry-optimized ScCdPdPb2 structure, from Alexandria via LeMat-Bulk.

Results
energy relative to the elements = 383 meV per atom
space-group type = P4/mmm, No. 123
VASP energy = -3.588 eV/atom
magnetic moment = 0.000 μB per cell
ρ = 7.28 Mg/m³

POSCAR file:
```
ScCdPdPb2
1.0
5.6680 0.0000 0.0000
0.0000 4.8129 0.0000
0.0000 0.0000 5.6680
Pb Sc Pd Cd
2 1 1 1
Direct
0.0000 0.0000 0.5000 Pb
0.5000 0.0000 0.0000 Pb
0.0000 0.0000 0.0000 Sc
0.0000 0.5000 0.0000 Pd
0.5000 0.5000 0.5000 Cd
```

Entry 3:
The following is a PBE calculation of a geometry-optimized PmRu2 structure, from Alexandria via LeMat-Bulk.

Results
energy relative to the elements = -177 meV per atom
space-group type = Fd-3m, No. 227
VASP energy = -7.945 eV/atom
magnetic moment = 0.000 μB per cell
ρ = 10.33 Mg/m³

POSCAR file:
```
PmRu2
1.0
5.4046 0.0000 0.0000
2.7023 4.6805 0.0000
2.7023 1.5602 4.4128
Ru Pm
4 2
Direct
0.1250 0.6250 0.6250 Ru
0.6250 0.1250 0.6250 Ru
0.6250 0.6250 0.6250 Ru
0.6250 0.6250 0.1250 Ru
0.0000 0.0000 0.0000 Pm
0.2500 0.2500 0.2500 Pm
```

Entry 4:
The following is a PBE calculation of a geometry-optimized SrMgGaRh2 structure, from Alexandria via LeMat-Bulk.

Results
energy relative to the elements = 1335 meV per atom
space-group type = P4/mmm, No. 123
VASP energy = -2.866 eV/atom
magnetic moment = 0.000 μB per cell
ρ = 4.59 Mg/m³

POSCAR file:
```
SrMgGaRh2
1.0
-4.4270 2.1109 -0.8123
-2.5129 -4.1178 2.9943
0.5241 2.6942 4.1449
Sr Mg Rh Ga
1 1 2 1
Direct
0.0000 0.0000 0.0000 Sr
0.0000 0.5000 0.0000 Mg
0.0000 0.0000 0.5000 Rh
0.5000 0.0000 0.0000 Rh
0.5000 0.5000 0.5000 Ga
```

Entry 5:
The following is a PBE calculation of a geometry-optimized MgCr2Os structure, from Alexandria via LeMat-Bulk.

Results
energy relative to the elements = 447 meV per atom
space-group type = Cmmm, No. 65
VASP energy = -7.571 eV/atom
magnetic moment = 0.002 μB per cell
ρ = 9.37 Mg/m³

POSCAR file:
```
MgCr2Os
1.0
-0.3926 -0.3935 -2.5733
-2.2038 -0.3835 1.3882
-2.0856 8.4553 -0.9749
Cr Mg Os
2 1 1
Direct
0.0000 0.0000 0.9848 Cr
0.0000 0.0000 0.5152 Cr
0.5000 0.5000 0.2500 Mg
0.5000 0.5000 0.7500 Os
```